No. 1
This record from Alexandria via LeMat-Bulk describes B3SbS at its PBEsol-relaxed geometry. The functional is SCAN.

Computed properties:
**ΔE_f (raw)**: 775.4 kJ/mol of formula units
**Total magnetization**: 0.00 Bohr magnetons per cell
**Calculated density**: 5.1 g/cm3
**Total DFT energy (no corrections)**: -12.228 eV/atom
**N(E_F)**: 1.4 states/eV/f.u.

a = 3.929 Å, b = 3.929 Å, c = 3.929 Å
α = 90.00°, β = 90.00°, γ = 90.00°
Atoms (fractional coordinates):
B  0.000  0.500  0.000
B  0.000  0.000  0.500
B  0.500  0.000  0.000
Sb  0.500  0.500  0.500
S  0.000  0.000  0.000



No. 2
This record from Alexandria via LeMat-Bulk describes LaAg22 at its PBEsol-relaxed geometry. The functional is SCAN.

Computed properties:
**Total magnetization**: 0.00 Bohr magnetons per cell
**Calculated density**: 10.1 g/cm3
**Total DFT energy (no corrections)**: -31.826 eV/atom
**Formation energy from the elements**: 52 meV/atom
**N(E_F)**: 8.1 states/eV/f.u.

a = 10.519 Å, b = 10.519 Å, c = 10.519 Å
α = 60.00°, β = 60.00°, γ = 60.00°
Atoms (fractional coordinates):
Ag  0.887  0.887  0.613
Ag  0.449  0.183  0.919
Ag  0.125  0.125  0.125
Ag  0.331  0.801  0.801
Ag  0.613  0.887  0.887
Ag  0.449  0.449  0.183
Ag  0.801  0.067  0.331
Ag  0.449  0.449  0.919
Ag  0.801  0.801  0.067
Ag  0.183  0.449  0.919
Ag  0.625  0.125  0.125
Ag  0.801  0.331  0.801
Ag  0.183  0.919  0.449
Ag  0.363  0.637  0.637
Ag  0.919  0.183  0.449
Ag  0.125  0.625  0.125
Ag  0.625  0.625  0.125
Ag  0.125  0.625  0.625
Ag  0.363  0.637  0.363
Ag  0.801  0.331  0.067
Ag  0.449  0.919  0.183
Ag  0.801  0.801  0.331
Ag  0.637  0.637  0.363
Ag  0.363  0.363  0.637
Ag  0.637  0.363  0.363
Ag  0.449  0.919  0.449
Ag  0.637  0.363  0.637
Ag  0.067  0.801  0.331
Ag  0.625  0.125  0.625
Ag  0.067  0.801  0.801
Ag  0.613  0.887  0.613
Ag  0.613  0.613  0.887
Ag  0.625  0.625  0.625
Ag  0.125  0.125  0.625
Ag  0.887  0.613  0.887
Ag  0.919  0.449  0.183
Ag  0.183  0.449  0.449
Ag  0.887  0.613  0.613
Ag  0.331  0.067  0.801
Ag  0.801  0.067  0.801
Ag  0.331  0.801  0.067
Ag  0.067  0.331  0.801
Ag  0.449  0.183  0.449
Ag  0.919  0.449  0.449
La  0.250  0.250  0.250
La  0.000  0.000  0.000



No. 3
This record from Alexandria via LeMat-Bulk describes Li3BrF at its PBEsol-relaxed geometry. The functional is SCAN.

Computed properties:
**ΔE_f (raw)**: -730.2 kJ/mol of formula units
**Total magnetization**: 0.29 Bohr magnetons per cell
**Calculated density**: 2.5 g/cm3
**Total DFT energy (no corrections)**: -7.547 eV/atom
**N(E_F)**: 1.1 states/eV/f.u.

a = 4.276 Å, b = 4.276 Å, c = 4.276 Å
α = 90.00°, β = 90.00°, γ = 90.00°
Atoms (fractional coordinates):
Li  0.000  0.000  0.500
Li  0.000  0.500  0.000
Li  0.500  0.000  0.000
Br  0.500  0.500  0.500
F  0.000  0.000  0.000



No. 4
This record from Alexandria via LeMat-Bulk describes AlZn2Cu at its PBEsol-relaxed geometry. The functional is SCAN.

Computed properties:
**Total magnetization**: 0.00 Bohr magnetons per cell
**Calculated density**: 6.5 g/cm3
**Total DFT energy (no corrections)**: -12.570 eV/atom
**Formation energy from the elements**: -74 meV/atom
**N(E_F)**: 1.0 states/eV/f.u.

a = 2.659 Å, b = 4.218 Å, c = 5.618 Å
α = 112.05°, β = 103.69°, γ = 90.00°
Atoms (fractional coordinates):
Cu  0.000  0.500  0.000
Zn  0.282  0.282  0.565
Zn  0.718  0.718  0.435
Al  0.500  0.000  0.000



No. 5
This record from Alexandria via LeMat-Bulk describes CoRhSN2 at its PBEsol-relaxed geometry. The functional is SCAN.

Computed properties:
**ΔE_f (raw)**: 511.8 kJ/mol of formula units
**Total magnetization**: 2.38 Bohr magnetons per cell
**Calculated density**: 5.3 g/cm3
**Total DFT energy (no corrections)**: -14.796 eV/atom
**N(E_F)**: 4.6 states/eV/f.u.

a = 3.649 Å, b = 3.649 Å, c = 5.219 Å
α = 90.00°, β = 90.00°, γ = 90.00°
Last column: magnetic moment on the atom in μB.
Atoms (fractional coordinates):
N  0.000  0.500  0.000  0.03
N  0.500  0.000  0.000  0.03
Co  0.500  0.500  0.500  2.22
S  0.000  0.000  0.500  0.03
Rh  0.000  0.000  0.000  -0.03



No. 6
This record from Alexandria via LeMat-Bulk describes Hf3Sc4O12 at its PBEsol-relaxed geometry. The functional is SCAN.

Computed properties:
**ΔE_f (raw)**: -7097.6 kJ/mol of formula units
**Total magnetization**: 0.00 Bohr magnetons per cell
**Calculated density**: 7.0 g/cm3
**Total DFT energy (no corrections)**: -20.700 eV/atom
**N(E_F)**: 0.0 states/eV/f.u.

a = 6.114 Å, b = 6.118 Å, c = 17.930 Å
α = 96.68°, β = 96.78°, γ = 99.70°
Atoms (fractional coordinates):
O  0.192  0.030  0.607
O  0.372  0.781  0.192
O  0.164  0.010  0.107
O  0.485  0.646  0.058
O  0.696  0.092  0.024
O  0.428  0.681  0.861
O  0.973  0.582  0.643
O  0.226  0.982  0.812
O  0.638  0.250  0.308
O  0.493  0.335  0.439
O  0.822  0.975  0.395
O  0.296  0.903  0.475
O  0.224  0.994  0.313
O  0.559  0.318  0.140
O  0.625  0.225  0.811
O  0.113  0.339  0.021
O  0.102  0.341  0.522
O  0.856  0.700  0.273
O  0.962  0.572  0.141
O  0.833  0.677  0.773
O  0.907  0.647  0.977
O  0.888  0.647  0.474
O  0.768  0.011  0.187
O  0.039  0.438  0.858
O  0.157  0.306  0.728
O  0.822  0.971  0.891
O  0.450  0.674  0.352
O  0.496  0.634  0.558
O  0.052  0.424  0.367
O  0.781  0.007  0.685
O  0.499  0.362  0.940
O  0.389  0.755  0.703
O  0.162  0.304  0.225
O  0.296  0.910  0.974
O  0.557  0.327  0.648
O  0.705  0.115  0.526
Hf  0.824  0.299  0.435
Hf  0.250  0.563  0.955
Hf  0.488  0.972  0.101
Hf  0.156  0.629  0.769
Hf  0.336  0.338  0.331
Hf  0.670  0.670  0.665
Hf  0.396  0.224  0.539
Hf  0.063  0.892  0.204
Hf  0.509  0.038  0.898
Sc  0.067  0.773  0.380
Sc  0.168  0.701  0.559
Sc  0.835  0.371  0.227
Sc  0.933  0.109  0.797
Sc  0.402  0.104  0.715
Sc  0.268  0.448  0.131
Sc  0.603  0.786  0.464
Sc  0.727  0.558  0.870
Sc  0.942  0.228  0.622
Sc  0.735  0.442  0.046
Sc  0.993  0.997  0.999
Sc  0.606  0.896  0.288



No. 7
This record from Alexandria via LeMat-Bulk describes K2SiAs at its PBEsol-relaxed geometry. The functional is SCAN.

Computed properties:
**ΔE_f (raw)**: -117.1 kJ/mol of formula units
**Offset from the most stable computed form**: 0.0 kJ/mol of atoms
**Total magnetization**: 0.00 Bohr magnetons per cell
**Calculated density**: 2.5 g/cm3
**Total DFT energy (no corrections)**: -12.019 eV/atom
**N(E_F)**: 1.9 states/eV/f.u.

a = 3.821 Å, b = 5.235 Å, c = 6.521 Å
α = 113.67°, β = 90.00°, γ = 90.00°
Atoms (fractional coordinates):
K  0.500  0.271  0.542
K  0.000  0.983  0.966
Si  0.000  0.688  0.375
As  0.500  0.564  0.129



No. 8
This record from Alexandria via LeMat-Bulk describes ZrPt3 at its PBEsol-relaxed geometry. The functional is SCAN.

Computed properties:
**Total magnetization**: 0.00 Bohr magnetons per cell
**Calculated density**: 17.5 g/cm3
**Total DFT energy (no corrections)**: -61.434 eV/atom
**Formation energy from the elements**: -1115 meV/atom
**N(E_F)**: 1.6 states/eV/f.u.

a = 3.966 Å, b = 3.966 Å, c = 4.948 Å
α = 113.63°, β = 113.63°, γ = 90.00°
Atoms (fractional coordinates):
Pt  0.000  0.000  0.000
Pt  0.750  0.250  0.500
Pt  0.250  0.750  0.500
Zr  0.500  0.500  0.000



No. 9
This record from Alexandria via LeMat-Bulk describes Y7O6F9 at its PBEsol-relaxed geometry. The functional is SCAN.

Computed properties:
**ΔE_f (raw)**: -9069.6 kJ/mol of formula units
**Offset from the most stable computed form**: 0.0 kJ/mol of atoms
**Total magnetization**: 0.00 Bohr magnetons per cell
**Calculated density**: 5.2 g/cm3
**Total DFT energy (no corrections)**: -16.279 eV/atom
**N(E_F)**: 0.0 states/eV/f.u.

a = 5.407 Å, b = 5.485 Å, c = 19.350 Å
α = 98.15°, β = 90.11°, γ = 90.00°
Atoms (fractional coordinates):
F  0.955  0.525  0.265
F  0.093  0.319  0.389
F  0.056  0.016  0.261
F  0.887  0.580  0.501
F  0.944  0.755  0.739
F  0.907  0.833  0.388
F  0.000  0.932  0.000
F  0.029  0.143  0.132
F  0.000  0.433  0.000
F  0.113  0.079  0.499
F  0.547  0.198  0.429
F  0.971  0.012  0.868
F  0.029  0.511  0.869
F  0.907  0.929  0.611
F  0.453  0.769  0.571
F  0.045  0.261  0.735
F  0.971  0.643  0.131
F  0.093  0.445  0.612
O  0.538  0.268  0.568
O  0.517  0.406  0.857
O  0.530  0.147  0.290
O  0.525  0.359  0.714
O  0.475  0.645  0.286
O  0.500  0.015  0.000
O  0.462  0.700  0.432
O  0.518  0.050  0.144
O  0.483  0.550  0.143
O  0.470  0.857  0.710
O  0.500  0.515  0.000
O  0.482  0.907  0.856
Y  0.295  0.620  0.788
Y  0.291  0.788  0.071
Y  0.712  0.578  0.647
Y  0.288  0.931  0.353
Y  0.724  0.955  0.501
Y  0.276  0.454  0.499
Y  0.709  0.717  0.929
Y  0.710  0.289  0.071
Y  0.290  0.219  0.929
Y  0.290  0.103  0.646
Y  0.710  0.457  0.354
Y  0.705  0.832  0.212
Y  0.298  0.328  0.213
Y  0.702  0.115  0.787



No. 10
This record from Alexandria via LeMat-Bulk describes FeSiAgGe2 at its PBEsol-relaxed geometry. The functional is SCAN.

Computed properties:
**ΔE_f (raw)**: 209.6 kJ/mol of formula units
**Total magnetization**: 1.12 Bohr magnetons per cell
**Calculated density**: 6.4 g/cm3
**Total DFT energy (no corrections)**: -19.103 eV/atom
**N(E_F)**: 2.2 states/eV/f.u.

a = 4.319 Å, b = 4.501 Å, c = 4.501 Å
α = 90.00°, β = 90.00°, γ = 90.00°
Last column: magnetic moment on the atom in μB.
Atoms (fractional coordinates):
Si  0.500  0.000  0.000  -0.01
Fe  0.000  0.000  0.000  0.91
Ge  0.000  0.000  0.500  0.03
Ge  0.000  0.500  0.000  0.03
Ag  0.500  0.500  0.500  0.01



No. 11
This record from Alexandria via LeMat-Bulk describes NaB2As at its PBEsol-relaxed geometry. The functional is SCAN.

Computed properties:
**Total magnetization**: 0.00 Bohr magnetons per cell
**Calculated density**: 2.8 g/cm3
**Total DFT energy (no corrections)**: -8.733 eV/atom
**Formation energy from the elements**: 1083 meV/atom
**N(E_F)**: 1.0 states/eV/f.u.

a = 5.906 Å, b = 5.826 Å, c = 5.906 Å
α = 120.46°, β = 90.00°, γ = 120.46°
Atoms (fractional coordinates):
As  0.000  0.000  0.000
As  0.250  0.500  0.750
Na  0.500  0.000  0.500
Na  0.750  0.500  0.250
B  0.963  0.250  0.875
B  0.287  0.250  0.375
B  0.125  0.750  0.713
B  0.625  0.750  0.037



No. 12
This record from Alexandria via LeMat-Bulk describes Li2BiAu at its PBEsol-relaxed geometry. The functional is SCAN.

Computed properties:
**Total magnetization**: 0.00 Bohr magnetons per cell
**Calculated density**: 8.5 g/cm3
**Total DFT energy (no corrections)**: -38.609 eV/atom
**Formation energy from the elements**: -480 meV/atom
**N(E_F)**: 0.5 states/eV/f.u.

a = 5.474 Å, b = 5.474 Å, c = 5.502 Å
α = 90.00°, β = 90.00°, γ = 98.38°
Atoms (fractional coordinates):
Li  0.879  0.520  0.250
Li  0.520  0.879  0.250
Li  0.121  0.480  0.750
Li  0.480  0.121  0.750
Bi  0.340  0.340  0.250
Bi  0.660  0.660  0.750
Au  0.000  0.000  0.000
Au  0.000  0.000  0.500